# 1
CaTcB2Pb: single point on PBEsol structure, meta-GGA SCAN.

```
CaTcB2Pb
1.0
-0.050 -4.436 1.212
4.293 0.390 1.604
-1.863 1.297 4.671
Pb Ca B Tc
1 1 2 1
direct
0.000 0.000 0.000
0.500 0.500 0.500
0.000 0.500 0.000
0.500 0.000 0.000
0.000 0.000 0.500
```

Summary:
Energy ... -25.14 eV/atom
D(E_F) ... 0.566 states/eV/atom
Formation energy ... 186.8 kJ/mol of atoms

=====

# 2
SbAuSe2N: single point on PBEsol structure, meta-GGA SCAN.

```
SbAuSe2N
1.0
3.761 0.000 0.000
0.000 5.219 0.000
0.000 0.000 5.219
Sb Au Se N
1 1 2 1
direct
0.500 0.500 0.500
0.000 0.000 0.000
0.000 0.000 0.500
0.000 0.500 0.000
0.500 0.000 0.000
```

Summary:
Energy relative to the elements, uncorrected ... 0.80 eV/atom
Energy ... -30.37 eV/atom
D(E_F) ... 0.291 states/eV/atom

=====

# 3
Ba3Au: single point on PBEsol structure, meta-GGA SCAN.

```
Ba3Au
1.0
-1.816 -2.917 2.295
5.519 -2.722 0.908
-0.909 6.568 3.910
Au Ba
1 3
direct
0.000 0.000 0.000
0.682 0.182 0.365
0.500 0.500 0.000
0.318 0.818 0.635
```

Summary:
Energy ... -47.36 eV/atom
D(E_F) ... 0.843 states/eV/atom
Formation energy ... -39.2 kJ/mol of atoms

=====

Q: Which of these has the lowest D(E_F)?
A: SbAuSe2N